# 1
ScZnSe2 | PBE | relaxed

Symmetry: Immm
Density of states at the Fermi level, states/eV/atom: 0.650
Final energy, eV per cell: -17.31

```
4
Lattice="-3.357 2.085 -3.107 -0.385 -4.059 -2.939 -1.016 0.889 4.842" Properties=species:S:1:pos:R:3 pbc="T T T"
Sc -1.636 -2.079 -0.560
Se -1.934 -1.021 -3.126
Se -3.678 -1.941 -5.943
Zn -3.122 0.993 -0.644
```



# 2
ScZn2Se | PBE | relaxed

Symmetry: I-42d
Density of states at the Fermi level, states/eV/atom: 0.634
Final energy, eV per cell: -28.06

```
8
Lattice="-6.596 -3.898 1.269 3.768 -4.817 4.786 -1.960 -2.775 5.050" Properties=species:S:1:pos:R:3 pbc="T T T"
Se 0.000 0.000 0.000
Se -4.985 -5.515 4.673
Sc -1.414 -4.358 3.027
Sc 0.197 -5.975 6.432
Zn -4.299 -3.825 2.684
Zn -3.854 -9.822 9.200
Zn -2.620 -5.235 5.944
Zn 1.198 -4.099 4.382
```



# 3
ScZnSe | PBE | relaxed

Symmetry: F-43m
Density of states at the Fermi level, states/eV/atom: 1.546
Final energy, eV per cell: -12.17
Offset from the most stable computed form, eV per formula unit: 1.84

```
3
Lattice="-2.701 -3.297 -1.723 1.024 -4.423 0.724 -2.612 -2.535 2.810" Properties=species:S:1:pos:R:3 pbc="T T T"
Se -3.217 -7.691 1.357
Zn 0.000 0.000 0.000
Sc -2.144 -5.127 0.905
```



# 4
ScZnSe | PBE | relaxed

Symmetry: Cm
Density of states at the Fermi level, states/eV/atom: 0.687
Final energy, eV per cell: -53.84
Offset from the most stable computed form, eV per formula unit: 0.55

```
12
Lattice="-6.007 1.270 3.921 -0.858 -3.679 -0.123 9.279 -2.330 4.923" Properties=species:S:1:pos:R:3 pbc="T T T"
Sc 5.525 -3.379 4.413
Sc 1.315 -0.374 2.013
Sc 5.136 -1.443 7.284
Sc 0.067 -2.117 4.761
Zn -2.926 -1.404 4.306
Zn 2.143 -0.729 6.830
Zn 3.072 -2.852 5.778
Zn -1.138 0.152 3.378
Se -5.430 -0.809 3.989
Se -0.362 -0.134 6.512
Se 2.260 -2.578 3.250
Se 7.329 -1.904 5.773
```